Entry from the Alexandria database: an optimized crystal structure of Pu3Pd2Au (PBE).

Structure (POSCAR):
```
Pu3Pd2Au
1.0
3.7945 0.0000 0.0000
0.0000 3.7945 0.0000
0.0000 0.0000 9.2367
Pu Pd Au
3 2 1
Direct
0.0000 0.0000 0.0000
0.0000 0.0000 0.3272
0.0000 0.0000 0.6728
0.5000 0.5000 0.1625
0.5000 0.5000 0.8375
0.5000 0.5000 0.5000
```

Summary:
Fermi-level density of states	23.8	states/eV per cell
uncorrected energy	-9.844	eV/atom
total magnetic moment	17.5	μB per formula unit